Computed, not measured: a relaxed structure of Ca3Sm3ScTe8 at the PBE-GGA level of DFT.

Calculated values
- Raw formation energy: -1.474 eV/atom
- Energy: -4.915 eV/atom
- Crystal system: trigonal

a = 8.8112 Å, b = 8.8112 Å, c = 22.1628 Å
α = 90.00°, β = 90.00°, γ = 120.00°
Last column: nearest neighbours and their distance in Å.
Space group R-3m (No. 166, hexagonal axes)
Inequivalent atoms, fractional coordinates:
Ca 0.0000 0.5000 0.0000 x9  6 Te 3.14-3.15
Sm 0.0000 0.5000 0.5000 x9  6 Te 3.14-3.15
Sc 0.0000 0.0000 0.5000 x3  6 Te 3.02
Te 0.0000 0.0000 0.2504 x6  3 Ca 3.14, 3 Sm 3.15
Te 0.0123 0.5061 0.2465 x18  1 Sc 3.02, 2 Sm 3.14, 2 Ca 3.15

---

Computed, not measured: a relaxed structure of PmYCuAu at the PBE-GGA level of DFT.

Calculated values
- ΔH_f (0 K): -2.00 eV/f.u.
- Energy: -5.147 eV/atom
- Distance to the lowest polymorph of the same formula: 31 meV/atom
- Crystal system: cubic

a = 7.2023 Å, b = 7.2023 Å, c = 7.2023 Å
α = 90.00°, β = 90.00°, γ = 90.00°
Last column: nearest neighbours and their distance in Å.
Space group F-43m (No. 216)
Inequivalent atoms, fractional coordinates:
Pm 0.0000 0.0000 0.0000 x4  4 Cu 3.12, 4 Au 3.12
Y 0.0000 0.0000 0.5000 x4  4 Cu 3.12, 4 Au 3.12
Cu 0.2500 0.2500 0.2500 x4  4 Pm 3.12, 4 Y 3.12
Au 0.2500 0.2500 0.7500 x4  4 Pm 3.12, 4 Y 3.12

---

Computed, not measured: a relaxed structure of KCaErI6 at the PBE-GGA level of DFT.

Calculated values
- Raw formation energy: -1.487 eV/atom
- Energy: -3.372 eV/atom
- Crystal system: trigonal

a = 7.9602 Å, b = 7.9602 Å, c = 15.5335 Å
α = 90.00°, β = 90.00°, γ = 120.00°
Last column: nearest neighbours and their distance in Å.
Space group P-31c (No. 163)
Inequivalent atoms, fractional coordinates:
K 0.0000 0.0000 0.0000 x2  6 I 3.61
Ca 0.3333 0.6667 0.2500 x2  6 I 3.15
Er 0.3333 0.6667 0.7500 x2  6 I 3.03
I 0.0119 0.3726 0.6362 x12  1 Er 3.03, 1 Ca 3.15